(1)
Dy2ErSc3P2Os: optimized geometry, GGA-PBE.

**Total magnetization**: 0.10 μB per formula unit
**E**: -6.950 eV/atom
**Crystal system**: orthorhombic

Lattice parameters (Å, degrees): 4.060 12.789 7.407 90.00 90.00 90.00
Space group Amm2 (No. 38)
One atom of each set of equivalent atoms:
Dy: 0.000 0.206 0.000
Er: 0.000 0.000 0.619
Sc: 0.500 0.000 0.968
Sc: 0.500 0.122 0.328
P: 0.500 0.165 0.706
Os: 0.000 0.000 0.212



(2)
NdY2Tl2Cd4: optimized geometry, GGA-PBE.

**Total magnetization**: 0.01 μB per formula unit
**E**: -3.251 eV/atom
**Crystal system**: orthorhombic

Lattice parameters (Å, degrees): 4.609 13.268 7.562 90.00 90.00 90.00
Space group Amm2 (No. 38)
One atom of each set of equivalent atoms:
Nd: 0.000 0.000 0.000
Y: 0.000 0.213 0.637
Tl: 0.500 0.169 0.924
Cd: 0.000 0.000 0.432
Cd: 0.500 0.000 0.667
Cd: 0.500 0.119 0.306



(3)
LiYSbAu: optimized geometry, GGA-PBE.

**Total magnetization**: 0.00 μB per formula unit
**E**: -4.442 eV/atom
**E above lowest polymorph**: 254 meV per atom
**Crystal system**: cubic

Lattice parameters (Å, degrees): 7.020 7.020 7.020 90.00 90.00 90.00
Space group F-43m (No. 216)
One atom of each set of equivalent atoms:
Li: 0.000 0.000 0.000
Y: 0.250 0.250 0.750
Sb: 0.250 0.250 0.250
Au: 0.000 0.000 0.500